Entry 1:
DFT (PBE) results for crystalline PmPrSbO2 at its relaxed geometry.

CIF file:
```
data_PmPrSbO2
_chemical_formula_sum 'Pm2 Pr2 Sb2 O4'
_cell_length_a 3.9997
_cell_length_b 3.9997
_cell_length_c 13.8469
_cell_angle_alpha 90.00
_cell_angle_beta 90.00
_cell_angle_gamma 90.00
_space_group_name_H-M_alt 'I 4 m m'
_space_group_IT_number 107
_space_group_name_Hall 'I 4 -2'
loop_
_atom_site_label
_atom_site_type_symbol
_atom_site_fract_x
_atom_site_fract_y
_atom_site_fract_z
Pm1 Pm 0.0000 0.0000 0.0000
Pr1 Pr 0.0000 0.0000 0.6730
Sb1 Sb 0.0000 0.0000 0.3371
O1 O 0.0000 0.5000 0.0838
```

Results
The calculation puts the uncorrected formation energy at -2.591 eV/atom. Its calculated total energy is -36.53 eV/f.u.

Entry 2:
DFT (PBE) results for crystalline Ce3Al2Ag4 at its relaxed geometry.

CIF file:
```
data_Ce3Al2Ag4
_chemical_formula_sum 'Ce6 Al4 Ag8'
_cell_length_a 10.6545
_cell_length_b 4.8521
_cell_length_c 9.0187
_cell_angle_alpha 90.00
_cell_angle_beta 121.34
_cell_angle_gamma 90.00
_space_group_name_H-M_alt 'C 1 2/m 1'
_space_group_IT_number 12
_space_group_name_Hall '-C 2y'
loop_
_atom_site_label
_atom_site_type_symbol
_atom_site_fract_x
_atom_site_fract_y
_atom_site_fract_z
Ce1 Ce 0.0000 0.0000 0.0000
Ce2 Ce 0.1595 0.5000 0.6678
Al1 Al 0.1188 0.5000 0.2851
Ag1 Ag 0.0732 0.0000 0.3997
Ag2 Ag 0.2098 0.5000 0.0512
```

Results
The calculation puts the formation energy at -210 kJ/mol of formula units. Its calculated total energy is -38.87 eV/f.u.

Entry 3:
DFT (PBE) results for crystalline Hf2VHRu at its relaxed geometry.

CIF file:
```
data_Hf2VHRu
_chemical_formula_sum 'Hf2 V1 H1 Ru1'
_cell_length_a 4.6021
_cell_length_b 4.6021
_cell_length_c 3.3909
_cell_angle_alpha 90.00
_cell_angle_beta 90.00
_cell_angle_gamma 90.00
_space_group_name_H-M_alt 'P 4/m m m'
_space_group_IT_number 123
_space_group_name_Hall '-P 4 2'
loop_
_atom_site_label
_atom_site_type_symbol
_atom_site_fract_x
_atom_site_fract_y
_atom_site_fract_z
Hf1 Hf 0.0000 0.5000 0.0000
V1 V 0.0000 0.0000 0.5000
H1 H 0.0000 0.0000 0.0000
Ru1 Ru 0.5000 0.5000 0.5000
```

Results
Its calculated total energy is -43.30 eV/f.u.

Entry 4:
DFT (PBE) results for crystalline CsYRh2 at its relaxed geometry.

CIF file:
```
data_CsYRh2
_chemical_formula_sum 'Cs4 Y4 Rh8'
_cell_length_a 5.3895
_cell_length_b 5.3895
_cell_length_c 17.7146
_cell_angle_alpha 90.00
_cell_angle_beta 90.00
_cell_angle_gamma 90.00
_space_group_name_H-M_alt 'I -4 2 d'
_space_group_IT_number 122
_space_group_name_Hall 'I -4 2bw'
loop_
_atom_site_label
_atom_site_type_symbol
_atom_site_fract_x
_atom_site_fract_y
_atom_site_fract_z
Cs1 Cs 0.0000 0.0000 0.0000
Y1 Y 0.0000 0.0000 0.5000
Rh1 Rh 0.0740 0.2500 0.6250
```

Results
The value obtained for the relative energy among the computed polymorphs is 26 meV/atom. The calculation puts the formation energy at 169 kJ/mol of formula units. Its calculated total energy is -20.27 eV/f.u.

Entry 5:
DFT (PBE) results for crystalline CeMnN at its relaxed geometry.

CIF file:
```
data_CeMnN
_chemical_formula_sum 'Ce1 Mn1 N1'
_cell_length_a 3.3030
_cell_length_b 3.3030
_cell_length_c 4.3948
_cell_angle_alpha 90.00
_cell_angle_beta 90.00
_cell_angle_gamma 120.00
_space_group_name_H-M_alt 'P -6 m 2'
_space_group_IT_number 187
_space_group_name_Hall 'P -6 2'
loop_
_atom_site_label
_atom_site_type_symbol
_atom_site_fract_x
_atom_site_fract_y
_atom_site_fract_z
Ce1 Ce 0.0000 0.0000 0.0000
Mn1 Mn 0.3333 0.6667 0.5000
N1 N 0.6667 0.3333 0.5000
```

Results
The calculation puts the uncorrected formation energy at -0.336 eV/atom. The value obtained for the relative energy among the computed polymorphs is 211 meV/atom. Its calculated total energy is -24.44 eV/f.u.

Entry 6:
DFT (PBE) results for crystalline FeCu2Pd2 at its relaxed geometry.

CIF file:
```
data_FeCu2Pd2
_chemical_formula_sum 'Fe2 Cu4 Pd4'
_cell_length_a 8.3251
_cell_length_b 3.7737
_cell_length_c 5.8539
_cell_angle_alpha 90.00
_cell_angle_beta 132.63
_cell_angle_gamma 90.00
_space_group_name_H-M_alt 'C 1 2/m 1'
_space_group_IT_number 12
_space_group_name_Hall '-C 2y'
loop_
_atom_site_label
_atom_site_type_symbol
_atom_site_fract_x
_atom_site_fract_y
_atom_site_fract_z
Fe1 Fe 0.0000 0.0000 0.0000
Cu1 Cu 0.1979 0.0000 0.5921
Pd1 Pd 0.0942 0.5000 0.8025
```

Results
The value obtained for the relative energy among the computed polymorphs is 0 meV/atom. The calculation puts the formation energy at -28 kJ/mol of formula units. Its calculated total energy is -27.34 eV/f.u.

Entry 7:
DFT (PBE) results for crystalline BeB2Ir2 at its relaxed geometry.

CIF file:
```
data_BeB2Ir2
_chemical_formula_sum 'Be2 B4 Ir4'
_cell_length_a 2.8913
_cell_length_b 2.8913
_cell_length_c 12.0966
_cell_angle_alpha 90.00
_cell_angle_beta 90.00
_cell_angle_gamma 90.00
_space_group_name_H-M_alt 'I 4/m m m'
_space_group_IT_number 139
_space_group_name_Hall '-I 4 2'
loop_
_atom_site_label
_atom_site_type_symbol
_atom_site_fract_x
_atom_site_fract_y
_atom_site_fract_z
Be1 Be 0.0000 0.0000 0.0000
B1 B 0.0000 0.5000 0.2500
Ir1 Ir 0.0000 0.0000 0.3836
```

Results
The value obtained for the relative energy among the computed polymorphs is 0 meV/atom. The calculation puts the formation energy at -205 kJ/mol of formula units. Its calculated total energy is -36.93 eV/f.u.

Entry 8:
DFT (PBE) results for crystalline CsAgBi2Te4 at its relaxed geometry.

CIF file:
```
data_CsAgBi2Te4
_chemical_formula_sum 'Cs4 Ag4 Bi8 Te16'
_cell_length_a 4.6524
_cell_length_b 15.4713
_cell_length_c 16.6911
_cell_angle_alpha 90.00
_cell_angle_beta 90.00
_cell_angle_gamma 90.00
_space_group_name_H-M_alt 'C m c m'
_space_group_IT_number 63
_space_group_name_Hall '-C 2c 2'
loop_
_atom_site_label
_atom_site_type_symbol
_atom_site_fract_x
_atom_site_fract_y
_atom_site_fract_z
Cs1 Cs 0.0000 0.1146 0.2500
Ag1 Ag 0.0000 0.1654 0.7500
Bi1 Bi 0.0000 0.3669 0.0609
Te1 Te 0.0000 0.0000 0.0000
Te2 Te 0.0000 0.2626 0.6008
Te3 Te 0.0000 0.4266 0.2500
```

Results
The calculation puts the uncorrected formation energy at -0.370 eV/atom. Its calculated total energy is -26.99 eV/f.u.

Entry 9:
DFT (PBE) results for crystalline YGa2Ir at its relaxed geometry.

CIF file:
```
data_YGa2Ir
_chemical_formula_sum 'Y8 Ga16 Ir8'
_cell_length_a 4.3043
_cell_length_b 9.2978
_cell_length_c 15.6451
_cell_angle_alpha 90.00
_cell_angle_beta 90.00
_cell_angle_gamma 90.00
_space_group_name_H-M_alt 'I m m m'
_space_group_IT_number 71
_space_group_name_Hall '-I 2 2'
loop_
_atom_site_label
_atom_site_type_symbol
_atom_site_fract_x
_atom_site_fract_y
_atom_site_fract_z
Y1 Y 0.0000 0.0000 0.2061
Y2 Y 0.0000 0.2370 0.0000
Ga1 Ga 0.0000 0.0000 0.4150
Ga2 Ga 0.0000 0.3474 0.1954
Ga3 Ga 0.0000 0.5000 0.4225
Ir1 Ir 0.0000 0.2565 0.3555
```

Results
The calculation puts the formation energy at -269 kJ/mol of formula units. Its calculated total energy is -24.17 eV/f.u.

Entry 10:
DFT (PBE) results for crystalline Cs2KIn2 at its relaxed geometry.

CIF file:
```
data_Cs2KIn2
_chemical_formula_sum 'Cs4 K2 In4'
_cell_length_a 11.4492
_cell_length_b 11.4492
_cell_length_c 4.1502
_cell_angle_alpha 90.00
_cell_angle_beta 90.00
_cell_angle_gamma 90.00
_space_group_name_H-M_alt 'P 4/m b m'
_space_group_IT_number 127
_space_group_name_Hall '-P 4 2ab'
loop_
_atom_site_label
_atom_site_type_symbol
_atom_site_fract_x
_atom_site_fract_y
_atom_site_fract_z
Cs1 Cs 0.1938 0.3062 0.0000
K1 K 0.0000 0.0000 0.0000
In1 In 0.0909 0.5909 0.5000
```

Results
The value obtained for the relative energy among the computed polymorphs is 133 meV/atom. The calculation puts the formation energy at 58 kJ/mol of formula units. Its calculated total energy is -7.68 eV/f.u.

Entry 11:
DFT (PBE) results for crystalline Dy7HoEr4 at its relaxed geometry.

CIF file:
```
data_Dy7HoEr4
_chemical_formula_sum 'Dy7 Ho1 Er4'
_cell_length_a 6.4306
_cell_length_b 6.7507
_cell_length_c 8.9610
_cell_angle_alpha 86.21
_cell_angle_beta 76.61
_cell_angle_gamma 82.09
_space_group_name_H-M_alt 'P -1'
_space_group_IT_number 2
_space_group_name_Hall '-P 1'
loop_
_atom_site_label
_atom_site_type_symbol
_atom_site_fract_x
_atom_site_fract_y
_atom_site_fract_z
Dy1 Dy 0.0000 0.0000 0.0000
Dy2 Dy 0.1924 0.6028 0.3861
Dy3 Dy 0.3141 0.2028 0.6418
Dy4 Dy 0.4860 0.7500 0.0508
Ho1 Ho 0.0000 0.5000 0.0000
Er1 Er 0.1613 0.1116 0.3137
Er2 Er 0.3568 0.6963 0.7144
```

Results
The value obtained for the relative energy among the computed polymorphs is 0 meV/atom. The calculation puts the formation energy at 104 kJ/mol of formula units. Its calculated total energy is -53.96 eV/f.u.

Entry 12:
DFT (PBE) results for crystalline Pm4BBr2O at its relaxed geometry.

CIF file:
```
data_Pm4BBr2O
_chemical_formula_sum 'Pm4 B1 Br2 O1'
_cell_length_a 6.4980
_cell_length_b 3.8391
_cell_length_c 7.7004
_cell_angle_alpha 90.00
_cell_angle_beta 107.23
_cell_angle_gamma 90.00
_space_group_name_H-M_alt 'P 1 2/m 1'
_space_group_IT_number 10
_space_group_name_Hall '-P 2y'
loop_
_atom_site_label
_atom_site_type_symbol
_atom_site_fract_x
_atom_site_fract_y
_atom_site_fract_z
Pm1 Pm 0.2250 0.0000 0.1819
Pm2 Pm 0.2610 0.5000 0.8141
B1 B 0.5000 0.0000 0.0000
Br1 Br 0.0000 0.0000 0.5000
Br2 Br 0.5000 0.5000 0.5000
O1 O 0.0000 0.5000 0.0000
```

Results
The calculation puts the uncorrected formation energy at -1.399 eV/atom. Its calculated total energy is -45.17 eV/f.u.